This record from the Alexandria database describes crystalline DyTcSn2 at its relaxed geometry. The functional is GGA-PBE.

Computed properties:
space group	No. 166
E_tot	-5.969	eV/atom
density of states at the Fermi level	0.565	states/eV per atom
magnetization	0.0	μB per formula unit
mass density	9.24	g/cm3
formation energy	-87	kJ/mol of formula units

a = 4.571 Å, b = 4.571 Å, c = 5.603 Å
α = 65.92°, β = 65.92°, γ = 60.00°
Positions (direct):
Tc  0.500  0.500  0.500
Sn  0.773  0.773  0.682
Sn  0.227  0.227  0.318
Dy  0.000  0.000  0.000

=====

This record from the Alexandria database describes crystalline DySn2Te4 at its relaxed geometry. The functional is GGA-PBE.

Computed properties:
space group	No. 63
E_tot	-4.177	eV/atom
density of states at the Fermi level	0.515	states/eV per atom
magnetization	0.0	μB per formula unit
mass density	6.56	g/cm3

a = 4.306 Å, b = 7.626 Å, c = 14.633 Å
α = 90.00°, β = 90.00°, γ = 106.40°
Positions (direct):
Te  0.042  0.084  0.250
Te  0.216  0.431  0.869
Te  0.500  0.000  0.000
Te  0.500  0.000  0.500
Te  0.784  0.569  0.369
Te  0.216  0.431  0.631
Te  0.784  0.569  0.131
Te  0.958  0.916  0.750
Sn  0.865  0.729  0.937
Sn  0.865  0.729  0.563
Sn  0.135  0.271  0.437
Sn  0.135  0.271  0.063
Dy  0.607  0.215  0.750
Dy  0.393  0.785  0.250

=====

This record from the Alexandria database describes crystalline Dy6SnTe2 at its relaxed geometry. The functional is GGA-PBE.

Computed properties:
space group	No. 12
E_tot	-4.842	eV/atom
density of states at the Fermi level	0.951	states/eV per atom
magnetization	0.0	μB per formula unit
mass density	8.30	g/cm3

a = 5.993 Å, b = 6.986 Å, c = 7.737 Å
α = 79.33°, β = 67.21°, γ = 64.60°
Positions (direct):
Te  0.740  0.374  0.146
Te  0.260  0.626  0.854
Dy  0.319  0.226  0.136
Dy  0.412  0.757  0.419
Dy  0.955  0.874  0.216
Dy  0.681  0.774  0.864
Dy  0.045  0.126  0.784
Dy  0.588  0.243  0.581
Sn  0.000  0.500  0.500

=====

This record from the Alexandria database describes crystalline Dy4SnTe2 at its relaxed geometry. The functional is GGA-PBE.

Computed properties:
space group	No. 70
E_tot	-4.988	eV/atom
density of states at the Fermi level	0.862	states/eV per atom
magnetization	0.0	μB per formula unit
mass density	7.94	g/cm3

a = 8.229 Å, b = 8.229 Å, c = 8.219 Å
α = 108.82°, β = 108.80°, γ = 110.84°
Positions (direct):
Te  0.625  0.375  0.250
Te  0.625  0.875  0.250
Te  0.625  0.375  0.750
Te  0.125  0.375  0.750
Dy  0.366  0.056  0.310
Dy  0.746  0.056  0.690
Dy  0.306  0.496  0.190
Dy  0.945  0.634  0.690
Dy  0.504  0.694  0.810
Dy  0.884  0.694  0.190
Dy  0.305  0.116  0.810
Dy  0.944  0.255  0.310
Sn  0.250  0.750  0.500
Sn  0.000  0.000  0.000

=====

This record from the Alexandria database describes crystalline Dy10Sn3Te3 at its relaxed geometry. The functional is GGA-PBE.

Computed properties:
space group	No. 189
E_tot	-5.063	eV/atom
density of states at the Fermi level	0.926	states/eV per atom
magnetization	0.0	μB per formula unit
mass density	8.84	g/cm3

a = 6.305 Å, b = 9.015 Å, c = 9.015 Å
α = 120.00°, β = 90.00°, γ = 90.00°
Positions (direct):
Sn  0.500  0.390  0.000
Sn  0.500  0.000  0.390
Sn  0.500  0.610  0.610
Dy  0.251  0.333  0.667
Dy  0.749  0.333  0.667
Dy  0.000  0.247  0.000
Dy  0.500  0.000  0.755
Dy  0.000  0.000  0.247
Dy  0.000  0.753  0.753
Dy  0.500  0.755  0.000
Dy  0.749  0.667  0.333
Dy  0.500  0.245  0.245
Dy  0.251  0.667  0.333
Te  0.000  0.000  0.614
Te  0.000  0.386  0.386
Te  0.000  0.614  0.000

=====

This record from the Alexandria database describes crystalline Dy4SnTe4 at its relaxed geometry. The functional is GGA-PBE.

Computed properties:
space group	No. 12
E_tot	-5.143	eV/atom
density of states at the Fermi level	0.146	states/eV per atom
magnetization	0.0	μB per formula unit
mass density	7.17	g/cm3

a = 4.352 Å, b = 7.629 Å, c = 9.750 Å
α = 75.57°, β = 77.11°, γ = 73.43°
Positions (direct):
Te  0.102  0.197  0.598
Te  0.898  0.803  0.402
Te  0.697  0.405  0.202
Te  0.303  0.595  0.798
Dy  0.302  0.096  0.301
Dy  0.698  0.904  0.699
Dy  0.096  0.708  0.100
Dy  0.904  0.292  0.900
Sn  0.500  0.000  0.000